Ta4CrAg: relaxed, PBE.

Results
Formation energy from the elements = 629 meV per atom

Lattice parameters (Å, degrees): 5.4352 5.4352 5.4352 60.00 60.00 60.00
Last column: magnetic moment on the atom in μB.
Atoms (fractional coordinates):
Ta1 0.6260 0.6260 0.1219  -0.10
Ta2 0.6260 0.1219 0.6260  -0.10
Ta3 0.6260 0.6260 0.6260  -0.10
Ta4 0.1219 0.6260 0.6260  -0.10
Cr1 0.0000 0.0000 0.0000  3.12
Ag1 0.2500 0.2500 0.2500  0.01

***

TaCrAg: relaxed, PBE.

Results
E above lowest polymorph = 48 meV per atom
Formation energy from the elements = 435 meV per atom

Lattice parameters (Å, degrees): 5.2633 5.2633 5.2633 144.27 144.25 51.44
Last column: magnetic moment on the atom in μB.
Atoms (fractional coordinates):
Ag1 0.9960 0.9960 0.0000  0.04
Cr1 0.3207 0.3207 0.0000  1.96
Ta1 0.6833 0.6833 0.0000  -0.21